1.
First-principles (PBE) data for KLi2N2 after structural relaxation, as listed in Alexandria.

extended XYZ file:
```
10
Lattice="6.796 0.000 0.000 0.000 6.796 0.000 0.000 0.000 3.474" Properties=species:S:1:pos:R:3 pbc="T T T"
K 0.000 0.000 0.000
K 3.398 3.398 0.000
Li 0.776 4.174 1.737
Li 4.174 6.020 1.737
Li 6.020 2.622 1.737
Li 2.622 0.776 1.737
N 2.927 6.325 0.000
N 6.325 3.869 0.000
N 3.869 0.471 0.000
N 0.471 2.927 0.000
```

Formation energy without anion corrections (eV/atom): 0.101
Crystal system: tetragonal
Fermi-level density of states (states/eV/atom): 0.14
Space-group type: P4/mbm, No. 127
Size of the total moment (μB/cell): 1.7

***

2.
First-principles (PBE) data for TbPmErCd after structural relaxation, as listed in Alexandria.

extended XYZ file:
```
4
Lattice="3.612 0.000 0.000 0.000 3.612 0.000 0.000 0.000 9.037" Properties=species:S:1:pos:R:3 pbc="T T T"
Tb 1.806 1.806 7.179
Pm 0.000 0.000 0.665
Er 1.806 1.806 3.156
Cd 0.000 0.000 5.128
```

Crystal system: tetragonal
Fermi-level density of states (states/eV/atom): 1.01
Space-group type: P4mm, No. 99
Energy of formation (eV per atom): -0.150
Size of the total moment (μB/cell): 0.0
Excess energy over the best structure of this formula in the dataset (meV/atom): 0

***

3.
First-principles (PBE) data for KCu2AgBr4 after structural relaxation, as listed in Alexandria.

extended XYZ file:
```
8
Lattice="-0.776 3.884 5.875 2.728 -2.032 5.976 4.692 4.699 1.786" Properties=species:S:1:pos:R:3 pbc="T T T"
K 0.000 0.000 0.000
Cu 2.451 1.521 3.591
Cu 4.192 5.031 10.046
Ag 3.322 3.276 6.818
Br 2.380 3.701 4.272
Br 4.652 0.904 6.421
Br 1.303 3.290 8.684
Br 4.952 5.208 7.897
```

Formation energy without anion corrections (eV/atom): -0.647
Crystal system: orthorhombic
Fermi-level density of states (states/eV/atom): 0.00
Space-group type: I222, No. 23
Size of the total moment (μB/cell): 0.0

***

4.
First-principles (PBE) data for Nd2Dy7Ho4 after structural relaxation, as listed in Alexandria.

extended XYZ file:
```
13
Lattice="6.068 0.000 0.000 -3.034 5.255 0.000 0.000 0.000 13.313" Properties=species:S:1:pos:R:3 pbc="T T T"
Nd 3.034 1.752 0.000
Nd 0.000 3.503 0.000
Dy 4.109 3.393 10.415
Dy -1.075 1.863 2.898
Dy 0.000 0.000 0.000
Dy 0.883 5.255 10.415
Dy 2.151 0.000 2.898
Dy 1.959 3.393 2.898
Dy 1.075 1.863 10.415
Ho 0.000 0.000 8.055
Ho 3.034 5.255 5.258
Ho 3.034 1.752 6.657
Ho 0.000 3.503 6.657
```

Crystal system: trigonal
Fermi-level density of states (states/eV/atom): 1.37
Space-group type: P-31m, No. 162
Energy of formation (eV per atom): 0.185
Size of the total moment (μB/cell): 0.0

***

5.
First-principles (PBE) data for Ho2Al2CdRh5 after structural relaxation, as listed in Alexandria.

extended XYZ file:
```
20
Lattice="-3.171 1.224 0.817 -4.043 -5.825 -6.968 -1.079 -7.265 6.699" Properties=species:S:1:pos:R:3 pbc="T T T"
Ho -2.922 -5.215 -3.531
Ho -2.200 -7.875 3.262
Ho -1.061 -3.379 0.946
Ho -4.061 -9.711 -1.215
Al -1.165 -5.230 3.317
Al -3.957 -7.860 -3.586
Al -3.462 -10.002 1.547
Al -1.660 -3.088 -1.816
Cd 0.000 0.000 0.000
Cd -2.561 -6.545 -0.134
Rh -2.513 -1.118 -0.598
Rh -5.780 -10.748 1.146
Rh -2.717 -5.523 5.213
Rh -4.925 -6.659 -1.658
Rh -5.577 -6.342 -4.666
Rh -3.369 -5.206 2.206
Rh -4.653 -7.867 1.205
Rh -3.640 -3.998 -0.658
Rh -3.607 -2.300 -3.076
Rh -2.125 -3.020 3.758
```

Crystal system: tetragonal
Fermi-level density of states (states/eV/atom): 0.48
Space-group type: P4/mbm, No. 127
Energy of formation (eV per atom): -0.772
Size of the total moment (μB/cell): 0.0

***

6.
First-principles (PBE) data for TiBe2SbOs after structural relaxation, as listed in Alexandria.

extended XYZ file:
```
5
Lattice="-0.545 -2.267 3.534 0.123 -4.171 -2.657 4.197 -0.205 0.516" Properties=species:S:1:pos:R:3 pbc="T T T"
Sb 0.061 -2.086 -1.328
Os 1.888 -3.322 0.696
Be 2.099 -0.102 0.258
Be -0.272 -1.133 1.767
Ti 0.000 0.000 0.000
```

Formation energy without anion corrections (eV/atom): 1.752
Crystal system: tetragonal
Fermi-level density of states (states/eV/atom): 0.80
Space-group type: P4/mmm, No. 123
Size of the total moment (μB/cell): 0.0

***

7.
First-principles (PBE) data for MgCrW2 after structural relaxation, as listed in Alexandria.

extended XYZ file:
```
4
Lattice="5.214 0.012 0.000 2.454 4.600 0.000 -3.834 -2.306 2.677" Properties=species:S:1:pos:R:3 pbc="T T T"
Cr 1.227 2.300 1.339
Mg 2.607 0.006 1.339
W 0.000 0.000 0.000
W 3.834 2.306 0.000
```

Crystal system: tetragonal
Fermi-level density of states (states/eV/atom): 0.94
Space-group type: I4/mmm, No. 139
Energy of formation (eV per atom): 0.534
Size of the total moment (μB/cell): 2.7
Excess energy over the best structure of this formula in the dataset (meV/atom): 237

***

8.
First-principles (PBE) data for CoHg2W2 after structural relaxation, as listed in Alexandria.

extended XYZ file:
```
10
Lattice="-4.824 -6.646 0.227 5.715 -4.000 4.341 -1.183 0.941 2.425" Properties=species:S:1:pos:R:3 pbc="T T T"
Co 0.000 0.000 0.000
Co 0.445 -5.323 2.284
Hg 3.135 -5.322 3.595
Hg 0.014 -8.149 3.171
Hg -2.245 -5.325 0.972
Hg 0.876 -2.498 1.397
W 2.362 -2.673 3.873
W 1.579 -7.137 5.225
W -2.654 -7.032 3.119
W -1.872 -2.568 1.768
```

Crystal system: tetragonal
Fermi-level density of states (states/eV/atom): 1.18
Space-group type: P4/mbm, No. 127
Energy of formation (eV per atom): 1.222
Size of the total moment (μB/cell): 4.0
Excess energy over the best structure of this formula in the dataset (meV/atom): 168

***

9.
First-principles (PBE) data for Ce5TcN8 after structural relaxation, as listed in Alexandria.

extended XYZ file:
```
14
Lattice="6.504 -0.034 0.059 -2.233 6.108 -0.059 -2.038 -3.106 5.339" Properties=species:S:1:pos:R:3 pbc="T T T"
Ce -0.996 2.066 0.756
Ce 3.028 4.569 1.422
Ce 2.190 1.633 3.327
Ce 2.233 -1.570 2.699
Ce 0.243 -2.331 5.172
Tc -1.019 0.717 3.989
N -2.573 1.499 4.883
N -1.588 -1.139 4.228
N 3.226 0.254 1.787
N 1.795 -0.672 4.735
N 1.380 2.979 1.743
N 0.243 2.085 4.588
N -0.159 0.421 2.258
N -1.935 3.377 2.414
```

Formation energy without anion corrections (eV/atom): -0.952
Crystal system: tetragonal
Fermi-level density of states (states/eV/atom): 0.79
Space-group type: I-4, No. 82
Size of the total moment (μB/cell): 0.3

***

10.
First-principles (PBE) data for Mg3PF after structural relaxation, as listed in Alexandria.

extended XYZ file:
```
5
Lattice="4.453 0.000 0.000 0.000 4.453 0.000 0.000 0.000 4.453" Properties=species:S:1:pos:R:3 pbc="T T T"
P 2.227 2.227 2.227
Mg 0.000 2.227 0.000
Mg 0.000 0.000 2.227
Mg 2.227 0.000 0.000
F 0.000 0.000 0.000
```

Formation energy without anion corrections (eV/atom): -0.746
Crystal system: cubic
Fermi-level density of states (states/eV/atom): 0.25
Space-group type: Pm-3m, No. 221
Size of the total moment (μB/cell): 0.0
Excess energy over the best structure of this formula in the dataset (meV/atom): 0

***

11.
First-principles (PBE) data for Sc2IrRh after structural relaxation, as listed in Alexandria.

extended XYZ file:
```
4
Lattice="0.000 3.229 3.229 3.229 0.000 3.229 3.229 3.229 0.000" Properties=species:S:1:pos:R:3 pbc="T T T"
Sc 1.615 1.615 1.615
Sc 4.844 4.844 4.844
Ir 3.229 3.229 3.229
Rh 0.000 0.000 0.000
```

Crystal system: cubic
Fermi-level density of states (states/eV/atom): 0.19
Space-group type: Fm-3m, No. 225
Energy of formation (eV per atom): -1.040
Size of the total moment (μB/cell): 0.0
Excess energy over the best structure of this formula in the dataset (meV/atom): 0

***

12.
First-principles (PBE) data for MnOsCl2 after structural relaxation, as listed in Alexandria.

extended XYZ file:
```
4
Lattice="3.055 0.055 0.000 -1.683 2.550 0.000 0.000 0.000 8.453" Properties=species:S:1:pos:R:3 pbc="T T T"
Mn 0.686 1.302 2.113
Os 0.686 1.302 6.340
Cl 0.000 0.000 0.217
Cl 0.000 0.000 4.010
```

Formation energy without anion corrections (eV/atom): 0.719
Crystal system: orthorhombic
Fermi-level density of states (states/eV/atom): 0.71
Space-group type: Cmmm, No. 65
Size of the total moment (μB/cell): 2.4
Excess energy over the best structure of this formula in the dataset (meV/atom): 750